! PBE KLuPb2, optimized geometry; values from VASP
! relative energy among the computed polymorphs	162	meV per atom
! density of states at the Fermi level	2.2	states/eV per cell
! E_tot	-13.469	eV/cell
! calculated density	8.51	g/cm³
! V	30.6	A^3/atom
! formation energy from the elements	-0.108	eV per atom
! space-group type	P4/mmm (123)
&SYSTEM
  ibrav = 0, nat = 4, ntyp = 3
/
ATOMIC_SPECIES
Pb 207.20 Pb.upf
K 39.10 K.upf
Lu 174.97 Lu.upf
ATOMIC_POSITIONS crystal
Pb 0.000 0.500 0.000
Pb 0.000 0.000 0.500
K 0.500 0.000 0.000
Lu 0.500 0.500 0.500
CELL_PARAMETERS angstrom
3.650 0.000 0.000
0.000 5.795 0.000
0.000 0.000 5.795

! PBE Pm4Nd2MgSc, optimized geometry; values from VASP
! density of states at the Fermi level	12.2	states/eV per cell
! E_tot	-36.293	eV/cell
! calculated density	6.14	g/cm³
! V	31.7	A^3/atom
! formation energy from the elements	0.021	eV per atom
! space-group type	P4/mmm (123)
&SYSTEM
  ibrav = 0, nat = 8, ntyp = 4
/
ATOMIC_SPECIES
Mg 24.30 Mg.upf
Pm 145.00 Pm.upf
Sc 44.96 Sc.upf
Nd 144.24 Nd.upf
ATOMIC_POSITIONS crystal
Mg 0.500 0.500 0.000
Pm 0.500 0.747 0.252
Pm 0.000 0.248 0.252
Pm 0.000 0.752 0.748
Pm 0.500 0.253 0.748
Sc 0.000 0.500 0.500
Nd 0.500 0.000 0.500
Nd 0.000 0.000 0.000
CELL_PARAMETERS angstrom
5.020 0.000 0.000
0.000 4.912 1.009
0.000 2.889 10.883

! PBE Sm6Pb3N2, optimized geometry; values from VASP
! density of states at the Fermi level	1.5	states/eV per cell
! E_tot	-65.674	eV/cell
! calculated density	8.50	g/cm³
! V	27.6	A^3/atom
! space-group type	I4/mmm (139)
! formation energy from raw total energies	-0.87	eV/atom
&SYSTEM
  ibrav = 0, nat = 11, ntyp = 3
/
ATOMIC_SPECIES
Sm 150.36 Sm.upf
N 14.01 N.upf
Pb 207.20 Pb.upf
ATOMIC_POSITIONS crystal
Sm 0.584 0.084 0.169
Sm 0.692 0.692 0.383
Sm 0.084 0.584 0.169
Sm 0.308 0.308 0.617
Sm 0.916 0.416 0.831
Sm 0.416 0.916 0.831
N 0.397 0.397 0.794
N 0.603 0.603 0.206
Pb 0.000 0.000 0.000
Pb 0.821 0.821 0.643
Pb 0.179 0.179 0.357
CELL_PARAMETERS angstrom
-0.353 4.633 -1.343
-1.603 -1.382 -4.349
-11.213 -1.283 7.231

! PBE NbBCl2, optimized geometry; values from VASP
! relative energy among the computed polymorphs	544	meV per atom
! density of states at the Fermi level	2.5	states/eV per cell
! E_tot	-17.209	eV/cell
! calculated density	4.82	g/cm³
! V	15.0	A^3/atom
! space-group type	Fm-3m (225)
! formation energy from raw total energies	0.81	eV/atom
&SYSTEM
  ibrav = 0, nat = 4, ntyp = 3
/
ATOMIC_SPECIES
Cl 35.45 Cl.upf
B 10.81 B.upf
Nb 92.91 Nb.upf
ATOMIC_POSITIONS crystal
Cl 0.750 0.750 0.750
Cl 0.250 0.250 0.250
B 0.000 0.000 0.000
Nb 0.500 0.500 0.500
CELL_PARAMETERS angstrom
-2.073 -2.708 2.776
-1.014 1.364 4.055
-4.195 0.751 1.082